# 1
Entry from Alexandria via LeMat-Bulk: a geometry-optimized Y2HfMgO6 structure (PBE).

CIF file:
```
data_Y2HfMgO6
_chemical_formula_sum 'Y2 Hf1 Mg1 O6'
_cell_length_a 5.587
_cell_length_b 5.587
_cell_length_c 5.799
_cell_angle_alpha 61.21
_cell_angle_beta 61.21
_cell_angle_gamma 60.00
_symmetry_space_group_name_H-M 'P 1'
_symmetry_Int_Tables_number 1
_symmetry_space_group_name_Hall 'P 1'
loop_
_atom_site_label
_atom_site_fract_x
_atom_site_fract_y
_atom_site_fract_z
_atom_site_occupancy
O1 0.957 0.595 0.260 1
Hf1 0.314 0.313 0.060 1
O2 0.447 0.683 0.765 1
Mg1 0.811 0.811 0.566 1
O3 0.683 0.105 0.765 1
O4 0.187 0.957 0.260 1
Y1 0.531 0.531 0.408 1
Y2 0.032 0.032 0.905 1
O5 0.595 0.187 0.260 1
O6 0.105 0.447 0.765 1
```

Properties
Total DFT energy (no corrections) in eV for the cell shown: -87.688
Uncorrected formation energy in eV per atom: -3.346

***

# 2
Entry from Alexandria via LeMat-Bulk: a geometry-optimized Y2HfMgO structure (PBE).

CIF file:
```
data_Y2HfMgO
_chemical_formula_sum 'Y2 Hf1 Mg1 O1'
_cell_length_a 4.926
_cell_length_b 4.926
_cell_length_c 4.352
_cell_angle_alpha 90.00
_cell_angle_beta 90.00
_cell_angle_gamma 90.00
_symmetry_space_group_name_H-M 'P 1'
_symmetry_Int_Tables_number 1
_symmetry_space_group_name_Hall 'P 1'
loop_
_atom_site_label
_atom_site_fract_x
_atom_site_fract_y
_atom_site_fract_z
_atom_site_occupancy
O1 0.000 0.000 0.000 1
Mg1 0.500 0.500 0.500 1
Y1 0.000 0.500 0.000 1
Hf1 0.000 0.000 0.500 1
Y2 0.500 0.000 0.000 1
```

Properties
Total DFT energy (no corrections) in eV for the cell shown: -34.838
Uncorrected formation energy in eV per atom: -1.081